A relaxed YCl8 crystal. Source: Alexandria via LeMat-Bulk, functional PBE.

For the raw formation energy, the calculation gives -0.474 eV/atom. The total energy is -2.8334 eV per atom. The value obtained for the volume is 600 Å³ per cell. For the size of the total moment, the calculation gives 0.334 μB/atom. Its crystal system is tetragonal.

The space group is I4/mmm (No. 139) and the conventional cell measures 11.725, 11.725 and 4.366 Å, with angles of 90.00, 90.00 and 90.00 degrees. The asymmetric unit holds Y at (0.000, 0.000, 0.000), Cl at (0.000, 0.229, 0.000) and Cl at (0.139, 0.139, 0.500).